1.
SrWSe | PBE | optimized geometry

Cell and atoms, written as CIF:
```
data_SrWSe
_space_group_name_H-M_alt 'P 1'
_space_group_IT_number 1
_space_group_name_Hall 'P 1'
_cell_length_a 3.497
_cell_length_b 3.497
_cell_length_c 6.647
_cell_angle_alpha 90.00
_cell_angle_beta 90.00
_cell_angle_gamma 120.00
loop_
_atom_site_label
_atom_site_type_symbol
_atom_site_fract_x
_atom_site_fract_y
_atom_site_fract_z
Sr1 Sr 0.000 0.000 0.000
W1 W 0.667 0.333 0.395
Se1 Se 0.333 0.667 0.630
```

Computed properties:
E above lowest polymorph: 42 kJ/mol of formula units
space group: No. 156
uncorrected energy: -5.771 eV/atom
N(E_F): 3.59 states/eV/cell
spin magnetization: 0.27 μB per formula unit
formation energy without anion corrections: 25.9 kJ per mole of atoms



2.
Y2SbHRh6 | PBE | optimized geometry

Cell and atoms, written as CIF:
```
data_Y2SbHRh6
_space_group_name_H-M_alt 'P 1'
_space_group_IT_number 1
_space_group_name_Hall 'P 1'
_cell_length_a 6.233
_cell_length_b 6.233
_cell_length_c 6.233
_cell_angle_alpha 120.43
_cell_angle_beta 119.52
_cell_angle_gamma 90.04
loop_
_atom_site_label
_atom_site_type_symbol
_atom_site_fract_x
_atom_site_fract_y
_atom_site_fract_z
Y1 Y 0.248 0.248 0.000
Y2 Y 0.752 0.752 0.000
Sb1 Sb 0.000 0.500 0.500
H1 H 0.500 0.000 0.500
Rh1 Rh 0.281 0.781 0.500
Rh2 Rh 0.282 0.222 0.504
Rh3 Rh 0.282 0.778 0.061
Rh4 Rh 0.718 0.222 0.939
Rh5 Rh 0.718 0.778 0.496
Rh6 Rh 0.719 0.219 0.500
```

Computed properties:
space group: No. 71
uncorrected energy: -6.919 eV/atom
N(E_F): 8.42 states/eV/cell
spin magnetization: 0.00 μB per formula unit



3.
In2Ga7Sn | PBE | optimized geometry

Cell and atoms, written as CIF:
```
data_In2Ga7Sn
_space_group_name_H-M_alt 'P 1'
_space_group_IT_number 1
_space_group_name_Hall 'P 1'
_cell_length_a 9.034
_cell_length_b 9.034
_cell_length_c 3.897
_cell_angle_alpha 90.00
_cell_angle_beta 90.00
_cell_angle_gamma 133.12
loop_
_atom_site_label
_atom_site_type_symbol
_atom_site_fract_x
_atom_site_fract_y
_atom_site_fract_z
In1 In 0.248 0.752 0.000
In2 In 0.752 0.248 0.000
Ga1 Ga 0.000 0.000 0.000
Ga2 Ga 0.117 0.883 0.500
Ga3 Ga 0.186 0.393 0.000
Ga4 Ga 0.393 0.186 0.000
Ga5 Ga 0.607 0.814 0.000
Ga6 Ga 0.814 0.607 0.000
Ga7 Ga 0.883 0.117 0.500
Sn1 Sn 0.500 0.500 0.500
```

Computed properties:
space group: No. 65
uncorrected energy: -2.980 eV/atom
N(E_F): 3.50 states/eV/cell
spin magnetization: 0.00 μB per formula unit
ΔH_f (0 K): 87 meV/atom



4.
NiTeAsBr2 | PBE | optimized geometry

Cell and atoms, written as CIF:
```
data_NiTeAsBr2
_space_group_name_H-M_alt 'P 1'
_space_group_IT_number 1
_space_group_name_Hall 'P 1'
_cell_length_a 4.780
_cell_length_b 4.780
_cell_length_c 5.012
_cell_angle_alpha 90.00
_cell_angle_beta 90.00
_cell_angle_gamma 90.00
loop_
_atom_site_label
_atom_site_type_symbol
_atom_site_fract_x
_atom_site_fract_y
_atom_site_fract_z
Ni1 Ni 0.000 0.000 0.000
Te1 Te 0.500 0.500 0.500
As1 As 0.000 0.000 0.500
Br1 Br 0.000 0.500 0.000
Br2 Br 0.500 0.000 0.000
```

Computed properties:
E above lowest polymorph: 0 kJ/mol of formula units
space group: No. 123
uncorrected energy: -3.135 eV/atom
N(E_F): 4.05 states/eV/cell
spin magnetization: 0.00 μB per formula unit
formation energy without anion corrections: 24.0 kJ per mole of atoms



5.
Mg2NpF8 | PBE | optimized geometry

Cell and atoms, written as CIF:
```
data_Mg2NpF8
_space_group_name_H-M_alt 'P 1'
_space_group_IT_number 1
_space_group_name_Hall 'P 1'
_cell_length_a 5.935
_cell_length_b 5.935
_cell_length_c 4.340
_cell_angle_alpha 95.36
_cell_angle_beta 95.36
_cell_angle_gamma 74.34
loop_
_atom_site_label
_atom_site_type_symbol
_atom_site_fract_x
_atom_site_fract_y
_atom_site_fract_z
Mg1 Mg 0.120 0.120 0.293
Mg2 Mg 0.880 0.880 0.707
Np1 Np 0.500 0.500 0.000
F1 F 0.092 0.092 0.761
F2 F 0.159 0.612 0.751
F3 F 0.327 0.327 0.283
F4 F 0.388 0.841 0.249
F5 F 0.612 0.159 0.751
F6 F 0.673 0.673 0.717
F7 F 0.841 0.388 0.249
F8 F 0.908 0.908 0.239
```

Computed properties:
space group: No. 12
uncorrected energy: -6.256 eV/atom
N(E_F): 12.43 states/eV/cell
spin magnetization: 3.00 μB per formula unit
formation energy without anion corrections: -330.8 kJ per mole of atoms



6.
In2AgW | PBE | optimized geometry

Cell and atoms, written as CIF:
```
data_In2AgW
_space_group_name_H-M_alt 'P 1'
_space_group_IT_number 1
_space_group_name_Hall 'P 1'
_cell_length_a 2.965
_cell_length_b 5.004
_cell_length_c 5.201
_cell_angle_alpha 90.00
_cell_angle_beta 90.00
_cell_angle_gamma 90.00
loop_
_atom_site_label
_atom_site_type_symbol
_atom_site_fract_x
_atom_site_fract_y
_atom_site_fract_z
In1 In 0.000 0.000 0.000
In2 In 0.000 0.500 0.406
Ag1 Ag 0.500 0.000 0.521
W1 W 0.500 0.500 0.897
```

Computed properties:
E above lowest polymorph: 20 kJ/mol of formula units
space group: No. 25
uncorrected energy: -4.864 eV/atom
N(E_F): 2.96 states/eV/cell
spin magnetization: 0.00 μB per formula unit
ΔH_f (0 K): 457 meV/atom



7.
CeYInGa | PBE | optimized geometry

Cell and atoms, written as CIF:
```
data_CeYInGa
_space_group_name_H-M_alt 'P 1'
_space_group_IT_number 1
_space_group_name_Hall 'P 1'
_cell_length_a 5.268
_cell_length_b 5.268
_cell_length_c 5.268
_cell_angle_alpha 60.00
_cell_angle_beta 60.00
_cell_angle_gamma 60.00
loop_
_atom_site_label
_atom_site_type_symbol
_atom_site_fract_x
_atom_site_fract_y
_atom_site_fract_z
Ce1 Ce 0.000 0.000 0.000
Y1 Y 0.500 0.500 0.500
In1 In 0.750 0.750 0.750
Ga1 Ga 0.250 0.250 0.250
```

Computed properties:
E above lowest polymorph: 14 kJ/mol of formula units
space group: No. 216
uncorrected energy: -4.989 eV/atom
N(E_F): 6.94 states/eV/cell
spin magnetization: 0.93 μB per formula unit
ΔH_f (0 K): -448 meV/atom



8.
IrRuAu2 | PBE | optimized geometry

Cell and atoms, written as CIF:
```
data_IrRuAu2
_space_group_name_H-M_alt 'P 1'
_space_group_IT_number 1
_space_group_name_Hall 'P 1'
_cell_length_a 4.896
_cell_length_b 2.823
_cell_length_c 4.911
_cell_angle_alpha 90.00
_cell_angle_beta 109.28
_cell_angle_gamma 90.00
loop_
_atom_site_label
_atom_site_type_symbol
_atom_site_fract_x
_atom_site_fract_y
_atom_site_fract_z
Ir1 Ir 0.000 0.000 0.000
Ru1 Ru 0.500 0.500 0.000
Au1 Au 0.000 0.500 0.500
Au2 Au 0.500 0.000 0.500
```

Computed properties:
E above lowest polymorph: 100 kJ/mol of formula units
space group: No. 10
uncorrected energy: -5.748 eV/atom
N(E_F): 5.57 states/eV/cell
spin magnetization: 0.83 μB per formula unit
ΔH_f (0 K): 425 meV/atom



9.
VMoPd3 | PBE | optimized geometry

Cell and atoms, written as CIF:
```
data_VMoPd3
_space_group_name_H-M_alt 'P 1'
_space_group_IT_number 1
_space_group_name_Hall 'P 1'
_cell_length_a 6.835
_cell_length_b 5.476
_cell_length_c 8.437
_cell_angle_alpha 90.00
_cell_angle_beta 107.58
_cell_angle_gamma 90.00
loop_
_atom_site_label
_atom_site_type_symbol
_atom_site_fract_x
_atom_site_fract_y
_atom_site_fract_z
V1 V 0.098 0.249 0.386
V2 V 0.098 0.751 0.886
V3 V 0.902 0.249 0.114
V4 V 0.902 0.751 0.614
Mo1 Mo 0.283 0.002 0.198
Mo2 Mo 0.283 0.998 0.698
Mo3 Mo 0.717 0.002 0.302
Mo4 Mo 0.717 0.998 0.802
Pd1 Pd 0.099 0.251 0.909
Pd2 Pd 0.099 0.749 0.409
Pd3 Pd 0.283 0.491 0.695
Pd4 Pd 0.283 0.509 0.195
Pd5 Pd 0.492 0.245 0.493
Pd6 Pd 0.492 0.755 0.993
Pd7 Pd 0.508 0.245 0.007
Pd8 Pd 0.508 0.755 0.507
Pd9 Pd 0.717 0.491 0.805
Pd10 Pd 0.717 0.509 0.305
Pd11 Pd 0.901 0.251 0.591
Pd12 Pd 0.901 0.749 0.091
```

Computed properties:
E above lowest polymorph: 43 kJ/mol of formula units
space group: No. 13
uncorrected energy: -7.129 eV/atom
N(E_F): 22.38 states/eV/cell
spin magnetization: 0.00 μB per formula unit
ΔH_f (0 K): -23 meV/atom



10.
ZrRe2Hg | PBE | optimized geometry

Cell and atoms, written as CIF:
```
data_ZrRe2Hg
_space_group_name_H-M_alt 'P 1'
_space_group_IT_number 1
_space_group_name_Hall 'P 1'
_cell_length_a 4.080
_cell_length_b 4.080
_cell_length_c 4.191
_cell_angle_alpha 90.00
_cell_angle_beta 90.00
_cell_angle_gamma 90.00
loop_
_atom_site_label
_atom_site_type_symbol
_atom_site_fract_x
_atom_site_fract_y
_atom_site_fract_z
Zr1 Zr 0.000 0.000 0.000
Re1 Re 0.000 0.500 0.500
Re2 Re 0.500 0.000 0.500
Hg1 Hg 0.500 0.500 0.000
```

Computed properties:
space group: No. 123
uncorrected energy: -8.101 eV/atom
N(E_F): 2.66 states/eV/cell
spin magnetization: 0.00 μB per formula unit
ΔH_f (0 K): 335 meV/atom



11.
PmThHgC | PBE | optimized geometry

Cell and atoms, written as CIF:
```
data_PmThHgC
_space_group_name_H-M_alt 'P 1'
_space_group_IT_number 1
_space_group_name_Hall 'P 1'
_cell_length_a 8.389
_cell_length_b 8.389
_cell_length_c 8.389
_cell_angle_alpha 25.57
_cell_angle_beta 25.57
_cell_angle_gamma 25.57
loop_
_atom_site_label
_atom_site_type_symbol
_atom_site_fract_x
_atom_site_fract_y
_atom_site_fract_z
Pm1 Pm 0.000 0.000 0.000
Th1 Th 0.784 0.784 0.784
Hg1 Hg 0.228 0.228 0.228
C1 C 0.396 0.396 0.396
```

Computed properties:
space group: No. 160
uncorrected energy: -5.740 eV/atom
N(E_F): 4.20 states/eV/cell
spin magnetization: 0.00 μB per formula unit
ΔH_f (0 K): -316 meV/atom



12.
Cs4CuPb3Br12 | PBE | optimized geometry

Cell and atoms, written as CIF:
```
data_Cs4CuPb3Br12
_space_group_name_H-M_alt 'P 1'
_space_group_IT_number 1
_space_group_name_Hall 'P 1'
_cell_length_a 10.073
_cell_length_b 10.073
_cell_length_c 10.073
_cell_angle_alpha 109.47
_cell_angle_beta 109.47
_cell_angle_gamma 109.47
loop_
_atom_site_label
_atom_site_type_symbol
_atom_site_fract_x
_atom_site_fract_y
_atom_site_fract_z
Cs1 Cs 0.000 0.000 0.500
Cs2 Cs 0.000 0.500 0.000
Cs3 Cs 0.500 0.000 0.000
Cs4 Cs 0.500 0.500 0.500
Cu1 Cu 0.000 0.000 0.000
Pb1 Pb 0.000 0.500 0.500
Pb2 Pb 0.500 0.000 0.500
Pb3 Pb 0.500 0.500 0.000
Br1 Br 0.000 0.234 0.234
Br2 Br 0.000 0.766 0.766
Br3 Br 0.234 0.000 0.234
Br4 Br 0.234 0.234 0.000
Br5 Br 0.250 0.500 0.750
Br6 Br 0.250 0.750 0.500
Br7 Br 0.500 0.250 0.750
Br8 Br 0.500 0.750 0.250
Br9 Br 0.750 0.250 0.500
Br10 Br 0.750 0.500 0.250
Br11 Br 0.766 0.000 0.766
Br12 Br 0.766 0.766 0.000
```

Computed properties:
space group: No. 229
uncorrected energy: -3.095 eV/atom
N(E_F): 7.06 states/eV/cell
spin magnetization: 0.42 μB per formula unit
formation energy without anion corrections: -111.9 kJ per mole of atoms